# Na4Sn2Bi5 | Alexandria via LeMat-Bulk | PBE-GGA | relaxed
# calculated formation energy = -0.193 eV/atom
# density of states at the Fermi level = 0.436 states/eV/atom
# uncorrected energy = -34.81 eV/cell
# M_tot = 0.00 μB/f.u.
data_Na4Sn2Bi5
_chemical_formula_sum 'Na4 Sn2 Bi5'
_cell_length_a 8.6410
_cell_length_b 3.4384
_cell_length_c 11.0688
_cell_angle_alpha 90.00
_cell_angle_beta 93.69
_cell_angle_gamma 90.00
_symmetry_space_group_name_H-M 'P 1 2/m 1'
_symmetry_Int_Tables_number 10
loop_
_symmetry_equiv_pos_as_xyz
'x,y,z'
'-x,-y,-z'
'-x,y,-z'
'x,-y,z'
loop_
_atom_site_label
_atom_site_type_symbol
_atom_site_fract_x
_atom_site_fract_y
_atom_site_fract_z
Na1 Na 0.1612 0.0000 0.3979
Na2 Na 0.2936 0.0000 0.9376
Sn1 Sn 0.0610 0.5000 0.1299
Bi1 Bi 0.1896 0.5000 0.6756
Bi2 Bi 0.4192 0.5000 0.2054
Bi3 Bi 0.5000 0.5000 0.5000